1.
{"formula": "Li5AlHg6", "functional": "PBE", "state": "optimized geometry", "lattice": [[-4.278, -1.525, 1.413], [1.647, -3.686, -7.211], [5.134, -0.839, 6.421]], "species": ["Hg", "Hg", "Hg", "Hg", "Hg", "Hg", "Al", "Li", "Li", "Li", "Li", "Li"], "fractional_positions": [[0.253, 0.083, 0.422], [0.747, 0.578, 0.917], [0.758, 0.255, 0.255], [0.242, 0.745, 0.745], [0.253, 0.422, 0.083], [0.747, 0.917, 0.578], [0.000, 0.000, 0.000], [0.500, 0.167, 0.833], [0.000, 0.333, 0.667], [0.500, 0.500, 0.500], [0.000, 0.667, 0.333], [0.500, 0.833, 0.167]], "dos_at_fermi_per_ev_cell": 3.830}

---

2.
{"formula": "LiAlHg2", "functional": "PBE", "state": "optimized geometry", "lattice": [[-0.698, 3.143, -3.487], [-3.287, 1.439, -3.105], [-2.373, 4.323, 3.197]], "species": ["Al", "Hg", "Hg", "Li"], "fractional_positions": [[0.250, 0.250, 0.250], [0.004, 0.004, 0.993], [0.496, 0.496, 0.507], [0.750, 0.750, 0.750]], "dos_at_fermi_per_ev_cell": 0.967}

---

3.
{"formula": "LiAl2Hg", "functional": "PBE", "state": "optimized geometry", "lattice": [[-3.891, 6.068, -5.838], [-6.104, 5.940, -3.673], [-3.686, 7.843, -3.306]], "species": ["Al", "Al", "Hg", "Li"], "fractional_positions": [[0.003, 0.003, 0.003], [0.497, 0.497, 0.497], [0.250, 0.250, 0.250], [0.750, 0.750, 0.750]], "dos_at_fermi_per_ev_cell": 0.895}

---

4.
{"formula": "LiAl2Hg", "functional": "PBE", "state": "optimized geometry", "lattice": [[3.074, 0.000, 0.000], [1.537, 2.662, 0.000], [1.537, 0.887, 9.247]], "species": ["Li", "Al", "Al", "Hg"], "fractional_positions": [[0.666, 0.666, 0.002], [0.081, 0.081, 0.758], [0.253, 0.253, 0.241], [0.500, 0.500, 0.499]], "dos_at_fermi_per_ev_cell": 1.592}

---

5.
{"formula": "Li6AlHg", "functional": "PBE", "state": "optimized geometry", "lattice": [[4.520, 0.000, 0.000], [0.000, 5.593, 0.471], [0.000, -2.054, 5.224]], "species": ["Li", "Li", "Li", "Li", "Li", "Li", "Al", "Hg"], "fractional_positions": [[0.000, 0.113, 0.366], [0.000, 0.634, 0.887], [0.000, 0.599, 0.401], [0.500, 0.384, 0.130], [0.500, 0.870, 0.616], [0.500, 0.897, 0.103], [0.500, 0.367, 0.633], [0.000, 0.135, 0.865]], "dos_at_fermi_per_ev_cell": 2.807}

---

6.
{"formula": "Li5AlHg3", "functional": "PBE", "state": "optimized geometry", "lattice": [[5.763, 0.000, 0.000], [0.000, 8.030, 0.000], [0.000, -4.015, 6.953]], "species": ["Li", "Li", "Li", "Li", "Li", "Li", "Li", "Li", "Li", "Li", "Al", "Al", "Hg", "Hg", "Hg", "Hg", "Hg", "Hg"], "fractional_positions": [[0.000, 0.667, 0.333], [0.500, 0.333, 0.667], [0.000, 0.333, 0.667], [0.500, 0.667, 0.333], [0.750, 0.660, 0.660], [0.750, 0.000, 0.340], [0.750, 0.340, 0.000], [0.250, 0.340, 0.340], [0.250, 0.000, 0.660], [0.250, 0.660, 0.000], [0.000, 0.000, 0.000], [0.500, 0.000, 0.000], [0.750, 0.327, 0.327], [0.750, 0.000, 0.673], [0.750, 0.673, 0.000], [0.250, 0.673, 0.673], [0.250, 0.000, 0.327], [0.250, 0.327, 0.000]], "dos_at_fermi_per_ev_cell": 7.614}

---

7.
{"formula": "LiAlHg2", "functional": "PBE", "state": "optimized geometry", "lattice": [[5.206, 0.000, 0.097], [4.040, 3.284, 0.097], [0.942, 0.335, 4.669]], "species": ["Al", "Hg", "Hg", "Li"], "fractional_positions": [[0.253, 0.253, 0.204], [0.994, 0.994, 0.062], [0.756, 0.756, 0.691], [0.497, 0.497, 0.543]], "dos_at_fermi_per_ev_cell": 1.250}

---

8.
{"formula": "LiAl2Hg2", "functional": "PBE", "state": "optimized geometry", "lattice": [[7.811, 0.000, 0.000], [0.000, 7.811, 0.000], [0.000, 0.000, 3.423]], "species": ["Li", "Li", "Hg", "Hg", "Hg", "Hg", "Al", "Al", "Al", "Al"], "fractional_positions": [[0.000, 0.000, 0.000], [0.500, 0.500, 0.000], [0.324, 0.824, 0.000], [0.824, 0.676, 0.000], [0.676, 0.176, 0.000], [0.176, 0.324, 0.000], [0.125, 0.625, 0.500], [0.625, 0.875, 0.500], [0.875, 0.375, 0.500], [0.375, 0.125, 0.500]], "dos_at_fermi_per_ev_cell": 2.628, "de_polymorph_ev_per_atom": 0.044}

---

9.
{"formula": "Li2Al2Hg", "functional": "PBE", "state": "optimized geometry", "lattice": [[-1.100, 1.077, -7.169], [-4.977, -5.384, -0.045], [-2.372, 2.187, 0.693]], "species": ["Li", "Li", "Li", "Li", "Hg", "Hg", "Al", "Al", "Al", "Al"], "fractional_positions": [[0.341, 0.841, 0.000], [0.841, 0.659, 0.000], [0.659, 0.159, 0.000], [0.159, 0.341, 0.000], [0.000, 0.000, 0.000], [0.500, 0.500, 0.000], [0.137, 0.637, 0.500], [0.637, 0.863, 0.500], [0.863, 0.363, 0.500], [0.363, 0.137, 0.500]], "dos_at_fermi_per_ev_cell": 2.856, "de_polymorph_ev_per_atom": 0.100}

---

10.
{"formula": "Li7AlHg2", "functional": "PBE", "state": "optimized geometry", "lattice": [[-4.132, 1.752, -0.697], [1.072, -1.746, 4.053], [3.327, 9.049, 3.018]], "species": ["Li", "Li", "Li", "Li", "Li", "Li", "Li", "Al", "Hg", "Hg"], "fractional_positions": [[0.333, 0.667, 0.387], [0.333, 0.667, 0.146], [0.000, 0.000, 0.350], [0.000, 0.000, 0.758], [0.667, 0.333, 0.543], [0.667, 0.333, 0.951], [0.333, 0.667, 0.904], [0.000, 0.000, 0.067], [0.667, 0.333, 0.233], [0.333, 0.667, 0.645]], "dos_at_fermi_per_ev_cell": 1.797}

---

11.
{"formula": "Li2AlHg2", "functional": "PBE", "state": "optimized geometry", "lattice": [[-6.897, -0.543, -3.138], [-0.265, -7.361, 1.857], [-1.342, 0.759, 2.817]], "species": ["Li", "Li", "Li", "Li", "Hg", "Hg", "Hg", "Hg", "Al", "Al"], "fractional_positions": [[0.365, 0.865, 0.000], [0.865, 0.635, 0.000], [0.635, 0.135, 0.000], [0.135, 0.365, 0.000], [0.161, 0.661, 0.500], [0.661, 0.839, 0.500], [0.839, 0.339, 0.500], [0.339, 0.161, 0.500], [0.000, 0.000, 0.000], [0.500, 0.500, 0.000]], "dos_at_fermi_per_ev_cell": 3.244, "de_polymorph_ev_per_atom": 0.061}

---

12.
{"formula": "Li4AlHg3", "functional": "PBE", "state": "optimized geometry", "lattice": [[3.266, 0.000, 0.000], [0.000, 3.266, 0.000], [0.000, 0.000, 13.265]], "species": ["Hg", "Hg", "Hg", "Al", "Li", "Li", "Li", "Li"], "fractional_positions": [[0.500, 0.500, 0.245], [0.500, 0.500, 0.500], [0.500, 0.500, 0.755], [0.500, 0.500, 0.000], [0.000, 0.000, 0.875], [0.000, 0.000, 0.125], [0.000, 0.000, 0.373], [0.000, 0.000, 0.627]], "dos_at_fermi_per_ev_cell": 2.377}

---

Formation energy, respectively: -6.9; -2.0; 1.0; 1.9; -3.9; -6.7; -2.3; 0.8; 0.6; -3.8; -3.2; -6.7 kcal/mol of atoms.